The following is a DFT calculation (PBE-GGA) of a geometry-optimized PaVFeGe structure.

Summary:
As for the energy: -0.589 Ry per atom. Its formation energy is -85.2 meV per atom.

Lattice parameters (Å, degrees): 4.4700 4.4700 4.4700 60.00 60.00 60.00
Element x y z (fractional)
1 Pa 0.0000 0.0000 0.0000
2 V 0.2500 0.2500 0.2500
3 Fe 0.7500 0.7500 0.7500
4 Ge 0.5000 0.5000 0.5000


The following is a DFT calculation (PBE-GGA) of a geometry-optimized Re2Sn2Se structure.

Summary:
As for the energy above the most stable polymorph in this dataset: 327.1 meV/atom. As for the energy: -0.464 Ry per atom. The formation energy without anion corrections is 958 meV per atom.

Lattice parameters (Å, degrees): 6.4143 6.4143 6.4143 139.48 139.48 58.64
Element x y z (fractional)
1 Re 0.1057 0.1057 0.0000
2 Re 0.8943 0.8943 0.0000
3 Sn 0.2500 0.7500 0.5000
4 Sn 0.7500 0.2500 0.5000
5 Se 0.5000 0.5000 0.0000


The following is a DFT calculation (PBE-GGA) of a geometry-optimized Tb2PrY2Mg5 structure.

Summary:
As for the energy: -0.251 Ry per atom. Its formation energy is 77.8 meV per atom.

Lattice parameters (Å, degrees): 10.6723 10.6723 5.1507 90.00 90.00 90.00
Element x y z (fractional)
1 Tb 0.1187 0.3813 0.0000
2 Tb 0.3813 0.8813 0.0000
3 Tb 0.6187 0.1187 0.0000
4 Tb 0.8813 0.6187 0.0000
5 Pr 0.0000 0.0000 0.0000
6 Pr 0.5000 0.5000 0.0000
7 Y 0.1782 0.6782 0.0000
8 Y 0.3218 0.1782 0.0000
9 Y 0.6782 0.8218 0.0000
10 Y 0.8218 0.3218 0.0000
11 Mg 0.0000 0.5000 0.5000
12 Mg 0.0750 0.1972 0.5000
13 Mg 0.1972 0.9250 0.5000
14 Mg 0.3028 0.4250 0.5000
15 Mg 0.4250 0.6972 0.5000
16 Mg 0.5000 0.0000 0.5000
17 Mg 0.5750 0.3028 0.5000
18 Mg 0.6972 0.5750 0.5000
19 Mg 0.8028 0.0750 0.5000
20 Mg 0.9250 0.8028 0.5000


The following is a DFT calculation (PBE-GGA) of a geometry-optimized AcBeCuSi2 structure.

Summary:
As for the energy: -0.364 Ry per atom. The formation energy without anion corrections is -393 meV per atom.

Lattice parameters (Å, degrees): 5.7590 5.7590 5.7590 136.79 136.79 62.76
Element x y z (fractional)
1 Ac 0.0000 0.0000 0.0000
2 Be 0.7500 0.2500 0.5000
3 Cu 0.2500 0.7500 0.5000
4 Si 0.3732 0.3732 0.0000
5 Si 0.6268 0.6268 0.0000


Among the records above, which one has the lowest energy? PaVFeGe


The highest energy belongs to which entry? Tb2PrY2Mg5


What did the fourth record say?
The following is a DFT calculation (PBE-GGA) of a geometry-optimized AcBeCuSi2 structure.

Summary:
As for the energy: -0.364 Ry per atom. The formation energy without anion corrections is -393 meV per atom.

Lattice parameters (Å, degrees): 5.7590 5.7590 5.7590 136.79 136.79 62.76
Element x y z (fractional)
1 Ac 0.0000 0.0000 0.0000
2 Be 0.7500 0.2500 0.5000
3 Cu 0.2500 0.7500 0.5000
4 Si 0.3732 0.3732 0.0000
5 Si 0.6268 0.6268 0.0000


What did the third record say?
The following is a DFT calculation (PBE-GGA) of a geometry-optimized Tb2PrY2Mg5 structure.

Summary:
As for the energy: -0.251 Ry per atom. Its formation energy is 77.8 meV per atom.

Lattice parameters (Å, degrees): 10.6723 10.6723 5.1507 90.00 90.00 90.00
Element x y z (fractional)
1 Tb 0.1187 0.3813 0.0000
2 Tb 0.3813 0.8813 0.0000
3 Tb 0.6187 0.1187 0.0000
4 Tb 0.8813 0.6187 0.0000
5 Pr 0.0000 0.0000 0.0000
6 Pr 0.5000 0.5000 0.0000
7 Y 0.1782 0.6782 0.0000
8 Y 0.3218 0.1782 0.0000
9 Y 0.6782 0.8218 0.0000
10 Y 0.8218 0.3218 0.0000
11 Mg 0.0000 0.5000 0.5000
12 Mg 0.0750 0.1972 0.5000
13 Mg 0.1972 0.9250 0.5000
14 Mg 0.3028 0.4250 0.5000
15 Mg 0.4250 0.6972 0.5000
16 Mg 0.5000 0.0000 0.5000
17 Mg 0.5750 0.3028 0.5000
18 Mg 0.6972 0.5750 0.5000
19 Mg 0.8028 0.0750 0.5000
20 Mg 0.9250 0.8028 0.5000